No. 1
Here is a relaxed structure of InPdO3 from the Alexandria database. Energies are from PBE.

## Properties
Space group   Pm-3m
Formation energy from raw total energies   0.01 eV/atom
Crystal system   cubic
Magnetization   3.00 Bohr magnetons per cell
Theoretical density   6.387 g/cm³

Unit cell a=4.1212 b=4.1212 c=4.1212 alpha=90.00 beta=90.00 gamma=90.00
Site moments in Bohr magnetons follow the coordinates.
Fractional coordinates of all 5 atoms:
O 0.5000 0.0000 0.0000  0.55
O 0.0000 0.5000 0.0000  0.67
O 0.0000 0.0000 0.5000  0.43
In 0.0000 0.0000 0.0000  -0.01
Pd 0.5000 0.5000 0.5000  1.10

No. 2
Here is a relaxed structure of InPd3O from the Alexandria database. Energies are from PBE.

## Properties
Space group   Pm-3m
Formation energy from raw total energies   1.25 eV/atom
Crystal system   cubic
Magnetization   0.00 Bohr magnetons per cell
Theoretical density   6.028 g/cm³

Unit cell a=4.9864 b=4.9864 c=4.9864 alpha=90.00 beta=90.00 gamma=90.00
Fractional coordinates of all 5 atoms:
O 0.5000 0.5000 0.5000
In 0.0000 0.0000 0.0000
Pd 0.0000 0.0000 0.5000
Pd 0.5000 0.0000 0.0000
Pd 0.0000 0.5000 0.0000

No. 3
Here is a relaxed structure of InPd3O from the Alexandria database. Energies are from PBE.

## Properties
Space group   Pm-3m
Formation energy from raw total energies   -0.14 eV/atom
Crystal system   cubic
Magnetization   0.00 Bohr magnetons per cell
Theoretical density   9.417 g/cm³

Unit cell a=4.2975 b=4.2975 c=4.2975 alpha=90.00 beta=90.00 gamma=90.00
Fractional coordinates of all 5 atoms:
O 0.0000 0.0000 0.0000
In 0.5000 0.5000 0.5000
Pd 0.5000 0.0000 0.0000
Pd 0.0000 0.5000 0.0000
Pd 0.0000 0.0000 0.5000

No. 4
Here is a relaxed structure of In2PdO from the Alexandria database. Energies are from PBE.

## Properties
Space group   I-42d
Formation energy from raw total energies   -0.67 eV/atom
Crystal system   tetragonal
Magnetization   0.00 Bohr magnetons per cell
Theoretical density   7.806 g/cm³

Unit cell a=6.3826 b=6.3826 c=5.8214 alpha=56.76 beta=56.76 gamma=90.00
Fractional coordinates of all 8 atoms:
Pd 0.0000 0.0000 0.0000
Pd 0.7500 0.2500 0.5000
O 0.5000 0.5000 0.0000
O 0.2500 0.7500 0.5000
In 0.5722 0.1250 0.2500
In 0.1778 0.6250 0.2500
In 0.3750 0.4278 0.7500
In 0.8750 0.8222 0.7500

No. 5
Here is a relaxed structure of In2Pd2O7 from the Alexandria database. Energies are from PBE.

## Properties
Space group   Fd-3m
Formation energy from raw total energies   -0.97 eV/atom
Crystal system   cubic
Magnetization   0.00 Bohr magnetons per cell
Theoretical density   7.167 g/cm³

Unit cell a=7.1358 b=7.1358 c=7.1358 alpha=60.00 beta=60.00 gamma=60.00
Fractional coordinates of all 22 atoms:
Pd 0.6250 0.1250 0.1250
Pd 0.1250 0.1250 0.1250
Pd 0.1250 0.1250 0.6250
Pd 0.1250 0.6250 0.1250
In 0.1250 0.6250 0.6250
In 0.6250 0.6250 0.1250
In 0.6250 0.6250 0.6250
In 0.6250 0.1250 0.6250
O 0.0330 0.0330 0.4670
O 0.2170 0.7830 0.7830
O 0.7500 0.7500 0.7500
O 0.4670 0.0330 0.0330
O 0.2170 0.2170 0.7830
O 0.7830 0.2170 0.7830
O 0.0330 0.4670 0.4670
O 0.7830 0.2170 0.2170
O 0.5000 0.5000 0.5000
O 0.4670 0.4670 0.0330
O 0.7830 0.7830 0.2170
O 0.4670 0.0330 0.4670
O 0.2170 0.7830 0.2170
O 0.0330 0.4670 0.0330

No. 6
Here is a relaxed structure of Pr2InPdO6 from the Alexandria database. Energies are from PBE.

## Properties
Space group   P2_1/c
Formation energy from raw total energies   -2.11 eV/atom
Crystal system   monoclinic
Magnetization   1.95 Bohr magnetons per cell
Theoretical density   7.193 g/cm³

Unit cell a=5.6317 b=6.1454 c=7.9926 alpha=90.00 beta=90.63 gamma=90.00
Site moments in Bohr magnetons follow the coordinates.
Fractional coordinates of all 20 atoms:
O 0.3063 0.6818 0.4373  0.11
O 0.1937 0.1818 0.0627  0.11
O 0.1951 0.1858 0.4449  0.03
O 0.8063 0.8182 0.9373  0.11
O 0.6951 0.3142 0.9449  0.03
O 0.3778 0.9545 0.7411  0.03
O 0.8049 0.8142 0.5551  0.03
O 0.3049 0.6858 0.0551  0.03
O 0.6937 0.3182 0.5627  0.11
O 0.1222 0.4545 0.7589  0.03
O 0.8778 0.5455 0.2411  0.03
O 0.6222 0.0455 0.2589  0.03
In 0.5000 0.0000 0.0000  0.03
In 0.0000 0.5000 0.5000  0.03
Pr 0.5230 0.5774 0.7516  0.01
Pr 0.9770 0.0774 0.7484  0.01
Pr 0.4770 0.4226 0.2484  0.01
Pr 0.0230 0.9226 0.2516  0.01
Pd 0.0000 0.5000 0.0000  0.55
Pd 0.5000 0.0000 0.5000  0.55

No. 7
Here is a relaxed structure of InPdPtO4 from the Alexandria database. Energies are from PBE.

## Properties
Space group   Imma
Formation energy from raw total energies   -0.63 eV/atom
Crystal system   orthorhombic
Magnetization   2.04 Bohr magnetons per cell
Theoretical density   8.411 g/cm³

Unit cell a=6.3168 b=6.4126 c=6.7618 alpha=121.82 beta=90.00 gamma=119.51
Site moments in Bohr magnetons follow the coordinates.
Fractional coordinates of all 14 atoms:
O 0.7065 0.9654 0.7327  0.06
O 0.2503 0.5006 0.6985  0.04
O 0.2935 0.0346 0.2673  0.06
O 0.7412 0.0346 0.2673  0.06
O 0.2588 0.9654 0.7327  0.06
O 0.7497 0.4994 0.6980  0.04
O 0.2503 0.5006 0.3020  0.04
O 0.7497 0.4994 0.3015  0.04
In 0.5000 0.0000 0.5000  0.00
In 0.5000 0.0000 0.0000  0.00
Pd 0.1588 0.3176 0.9088  0.74
Pd 0.8412 0.6824 0.0912  0.74
Pt 0.5000 0.5000 0.5000  0.03
Pt 0.0000 0.5000 0.5000  0.03

No. 8
Here is a relaxed structure of PuInPdO6 from the Alexandria database. Energies are from PBE.

## Properties
Space group   P-31c
Formation energy from raw total energies   -1.57 eV/atom
Crystal system   trigonal
Magnetization   6.02 Bohr magnetons per cell
Theoretical density   7.925 g/cm³

Unit cell a=5.3274 b=5.3274 c=9.5689 alpha=90.00 beta=90.00 gamma=120.00
Site moments in Bohr magnetons follow the coordinates.
Fractional coordinates of all 18 atoms:
O 0.3441 0.0022 0.6305  -0.04
O 0.0022 0.3441 0.1305  -0.04
O 0.3441 0.3419 0.8695  -0.04
O 0.6559 0.6581 0.1305  -0.04
O 0.3419 0.3441 0.3695  -0.04
O 0.6581 0.0022 0.8695  -0.04
O 0.9978 0.6559 0.8695  -0.04
O 0.6559 0.9978 0.3695  -0.04
O 0.0022 0.6581 0.3695  -0.04
O 0.3419 0.9978 0.1305  -0.04
O 0.9978 0.3419 0.6305  -0.04
O 0.6581 0.6559 0.6305  -0.04
Pu 0.3333 0.6667 0.7500  2.91
Pu 0.6667 0.3333 0.2500  2.91
Pd 0.3333 0.6667 0.2500  0.30
Pd 0.6667 0.3333 0.7500  0.30
In 0.0000 0.0000 0.5000  0.01
In 0.0000 0.0000 0.0000  0.01